P.
Computed, not measured: a relaxed ZnBiPd3 crystal at the GGA-PBE level of DFT.

It has space group Pm-3m (No. 221), with a = 5.0613 Å, b = 5.0613 Å, c = 5.0613 Å, α = 90.00°, β = 90.00° and γ = 90.00°. The inequivalent atoms are Zn at (0.0000, 0.0000, 0.0000), Bi at (0.5000, 0.5000, 0.5000) and Pd at (0.0000, 0.5000, 0.5000).

---

Q.
Computed, not measured: a relaxed ZnBiPd3 crystal at the GGA-PBE level of DFT.

It has space group Pm-3m (No. 221), with a = 4.6737 Å, b = 4.6737 Å, c = 4.6737 Å, α = 90.00°, β = 90.00° and γ = 90.00°. The inequivalent atoms are Zn at (0.0000, 0.0000, 0.0000), Bi at (0.5000, 0.5000, 0.5000) and Pd at (0.0000, 0.0000, 0.5000).

---

Most stable one: Q, least stable one: P.

---

P.
Computed, not measured: a relaxed ZnBiPd2 crystal at the GGA-PBE level of DFT.

It has space group P4/mmm (No. 123), with a = 3.2239 Å, b = 3.2239 Å, c = 6.9720 Å, α = 90.00°, β = 90.00° and γ = 90.00°. The inequivalent atoms are Zn at (0.0000, 0.0000, 0.0000), Bi at (0.0000, 0.0000, 0.5000) and Pd at (0.5000, 0.5000, 0.2054).

---

Q.
Computed, not measured: a relaxed ZnBiPd2 crystal at the GGA-PBE level of DFT.

It has space group P4/mmm (No. 123), with a = 4.5919 Å, b = 4.5919 Å, c = 3.4535 Å, α = 90.00°, β = 90.00° and γ = 90.00°. The inequivalent atoms are Zn at (0.0000, 0.0000, 0.0000), Bi at (0.5000, 0.5000, 0.0000) and Pd at (0.0000, 0.5000, 0.5000).

---

Most stable one: P, least stable one: Q.

---

P.
Computed, not measured: a relaxed ZnBiPd2 crystal at the GGA-PBE level of DFT.

It has space group R-3m (No. 166, hexagonal axes), with a = 4.4502 Å, b = 4.4502 Å, c = 12.9889 Å, α = 90.00°, β = 90.00° and γ = 120.00°. The inequivalent atoms are Zn at (0.0000, 0.0000, 0.0000), Bi at (0.0000, 0.0000, 0.5000) and Pd at (0.0000, 0.0000, 0.2735).

---

Q.
Computed, not measured: a relaxed ZnBiPd2 crystal at the GGA-PBE level of DFT.

It has space group R3m (No. 160, hexagonal axes), with a = 3.4939 Å, b = 3.4939 Å, c = 22.0965 Å, α = 90.00°, β = 90.00° and γ = 120.00°. The inequivalent atoms are Zn at (0.0000, 0.0000, 0.0000), Bi at (0.0000, 0.0000, 0.1672), Pd at (0.0000, 0.0000, 0.5953) and Pd at (0.0000, 0.0000, 0.7388).

---

R.
Computed, not measured: a relaxed ZnBiPd2 crystal at the GGA-PBE level of DFT.

It has space group I-42d (No. 122), with a = 7.3461 Å, b = 7.3461 Å, c = 5.7324 Å, α = 90.00°, β = 90.00° and γ = 90.00°. The inequivalent atoms are Zn at (0.0000, 0.0000, 0.0000), Bi at (0.0000, 0.0000, 0.5000) and Pd at (0.2120, 0.2500, 0.1250).

---

Most stable one: P, least stable one: R.

---

P.
Computed, not measured: a relaxed ZrBi3Pd crystal at the GGA-PBE level of DFT.

It has space group Pm-3m (No. 221), with a = 5.3252 Å, b = 5.3252 Å, c = 5.3252 Å, α = 90.00°, β = 90.00° and γ = 90.00°. The inequivalent atoms are Zr at (0.0000, 0.0000, 0.0000), Bi at (0.0000, 0.5000, 0.5000) and Pd at (0.5000, 0.5000, 0.5000).

---

Q.
Computed, not measured: a relaxed ZrBi3Pd crystal at the GGA-PBE level of DFT.

It has space group Pm-3m (No. 221), with a = 5.6098 Å, b = 5.6098 Å, c = 5.6098 Å, α = 90.00°, β = 90.00° and γ = 90.00°. The inequivalent atoms are Zr at (0.0000, 0.0000, 0.0000), Bi at (0.0000, 0.0000, 0.5000) and Pd at (0.5000, 0.5000, 0.5000).

---

Most stable one: P, least stable one: Q.

---

P.
Computed, not measured: a relaxed ZrBiPd3 crystal at the GGA-PBE level of DFT.

It has space group Pm-3m (No. 221), with a = 4.9513 Å, b = 4.9513 Å, c = 4.9513 Å, α = 90.00°, β = 90.00° and γ = 90.00°. The inequivalent atoms are Zr at (0.0000, 0.0000, 0.0000), Bi at (0.5000, 0.5000, 0.5000) and Pd at (0.0000, 0.0000, 0.5000).

---

Q.
Computed, not measured: a relaxed ZrBiPd3 crystal at the GGA-PBE level of DFT.

It has space group Pmmn (No. 59, origin choice 2), with a = 4.2959 Å, b = 5.6118 Å, c = 8.2701 Å, α = 90.00°, β = 90.00° and γ = 90.00°. The inequivalent atoms are Zr at (0.2500, 0.2500, 0.0568), Bi at (0.2500, 0.2500, 0.4422), Pd at (0.2500, 0.5097, 0.7524) and Pd at (0.2500, 0.7500, 0.1555).

---

Most stable one: Q, least stable one: P.

---

P.
Computed, not measured: a relaxed ZrBiPd6 crystal at the GGA-PBE level of DFT.

It has space group P4/mmm (No. 123), with a = 4.0848 Å, b = 4.0848 Å, c = 8.1991 Å, α = 90.00°, β = 90.00° and γ = 90.00°. The inequivalent atoms are Zr at (0.0000, 0.0000, 0.0000), Bi at (0.0000, 0.0000, 0.5000), Pd at (0.0000, 0.5000, 0.2383), Pd at (0.5000, 0.5000, 0.0000) and Pd at (0.5000, 0.5000, 0.5000).

---

Q.
Computed, not measured: a relaxed ZrBiPd6 crystal at the GGA-PBE level of DFT.

It has space group R-3m (No. 166, hexagonal axes), with a = 7.3370 Å, b = 7.3370 Å, c = 10.2991 Å, α = 90.00°, β = 90.00° and γ = 120.00°. The inequivalent atoms are Zr at (0.0000, 0.0000, 0.0000), Bi at (0.0000, 0.0000, 0.5000) and Pd at (0.0804, 0.5402, 0.3813).

---

Most stable one: P, least stable one: Q.

---

P.
Computed, not measured: a relaxed PmPr2Bi crystal at the GGA-PBE level of DFT.

It has space group Fm-3m (No. 225), with a = 8.0199 Å, b = 8.0199 Å, c = 8.0199 Å, α = 90.00°, β = 90.00° and γ = 90.00°. The inequivalent atoms are Pm at (0.0000, 0.0000, 0.0000), Pr at (0.2500, 0.2500, 0.2500) and Bi at (0.0000, 0.0000, 0.5000).

---

Q.
Computed, not measured: a relaxed PmPr2Bi crystal at the GGA-PBE level of DFT.

It has space group R3m (No. 160, hexagonal axes), with a = 4.1943 Å, b = 4.1943 Å, c = 29.4126 Å, α = 90.00°, β = 90.00° and γ = 120.00°. The inequivalent atoms are Pm at (0.0000, 0.0000, 0.0000), Pr at (0.0000, 0.0000, 0.2374), Pr at (0.0000, 0.0000, 0.4292) and Bi at (0.0000, 0.0000, 0.8333).

---

Most stable one: P, least stable one: Q.

---

P.
Computed, not measured: a relaxed Pm3PrBi3 crystal at the GGA-PBE level of DFT.

It has space group P6_3/m (No. 176), with a = 9.4216 Å, b = 9.4216 Å, c = 5.9701 Å, α = 90.00°, β = 90.00° and γ = 120.00°. The inequivalent atoms are Pm at (0.0122, 0.2471, 0.2500), Pr at (0.3333, 0.6667, 0.2500) and Bi at (0.0635, 0.4356, 0.7500).

---

Q.
Computed, not measured: a relaxed Pm3PrBi3 crystal at the GGA-PBE level of DFT.

It has space group P2_13 (No. 198), with a = 9.6651 Å, b = 9.6651 Å, c = 9.6651 Å, α = 90.00°, β = 90.00° and γ = 90.00°. The inequivalent atoms are Pm at (0.0729, 0.4271, 0.5729), Pm at (0.1790, 0.1790, 0.1790), Pm at (0.1797, 0.8203, 0.3203), Pr at (0.0708, 0.5708, 0.9292) and Bi at (0.0007, 0.7476, 0.6233).

---

Most stable one: Q, least stable one: P.

---

P.
Computed, not measured: a relaxed Pm3PrBi4 crystal at the GGA-PBE level of DFT.

It has space group Cmmm (No. 65), with a = 9.1883 Å, b = 12.9927 Å, c = 4.5968 Å, α = 90.00°, β = 90.00° and γ = 90.00°. The inequivalent atoms are Pm at (0.0000, 0.0000, 0.0000), Pm at (0.2500, 0.2500, 0.5000), Pr at (0.0000, 0.5000, 0.0000), Bi at (0.0000, 0.2487, 0.0000) and Bi at (0.2474, 0.0000, 0.5000).

---

Q.
Computed, not measured: a relaxed Pm3PrBi4 crystal at the GGA-PBE level of DFT.

It has space group Pm-3m (No. 221), with a = 6.4940 Å, b = 6.4940 Å, c = 6.4940 Å, α = 90.00°, β = 90.00° and γ = 90.00°. The inequivalent atoms are Pm at (0.0000, 0.0000, 0.5000), Pr at (0.5000, 0.5000, 0.5000), Bi at (0.0000, 0.0000, 0.0000) and Bi at (0.0000, 0.5000, 0.5000).

---

Most stable one: Q, least stable one: P.

---

P.
Computed, not measured: a relaxed PmPr3Bi2 crystal at the GGA-PBE level of DFT.

It has space group Ibam (No. 72), with a = 7.3388 Å, b = 15.1340 Å, c = 8.0738 Å, α = 90.00°, β = 90.00° and γ = 90.00°. The inequivalent atoms are Pm at (0.0000, 0.0000, 0.0000), Pr at (0.0000, 0.2023, 0.2500), Pr at (0.0000, 0.5000, 0.2500) and Bi at (0.1667, 0.3522, 0.0000).

---

Q.
Computed, not measured: a relaxed PmPr3Bi2 crystal at the GGA-PBE level of DFT.

It has space group P-4m2 (No. 115), with a = 4.6895 Å, b = 4.6895 Å, c = 9.0826 Å, α = 90.00°, β = 90.00° and γ = 90.00°. The inequivalent atoms are Pm at (0.0000, 0.0000, 0.0000), Pr at (0.0000, 0.5000, 0.3541), Pr at (0.5000, 0.5000, 0.0000) and Bi at (0.0000, 0.5000, 0.7208).

---

Most stable one: Q, least stable one: P.

---

P.
Computed, not measured: a relaxed PmPrBi crystal at the GGA-PBE level of DFT.

It has space group P4/nmm (No. 129, origin choice 2), with a = 4.5452 Å, b = 4.5452 Å, c = 11.0422 Å, α = 90.00°, β = 90.00° and γ = 90.00°. The inequivalent atoms are Pm at (0.2500, 0.2500, 0.0805), Pr at (0.2500, 0.2500, 0.6591) and Bi at (0.2500, 0.2500, 0.3647).

---

Q.
Computed, not measured: a relaxed PmPrBi crystal at the GGA-PBE level of DFT.

It has space group F-43m (No. 216), with a = 7.5565 Å, b = 7.5565 Å, c = 7.5565 Å, α = 90.00°, β = 90.00° and γ = 90.00°. The inequivalent atoms are Pm at (0.0000, 0.0000, 0.0000), Pr at (0.0000, 0.0000, 0.5000) and Bi at (0.2500, 0.2500, 0.7500).

---

R.
Computed, not measured: a relaxed PmPrBi crystal at the GGA-PBE level of DFT.

It has space group Immm (No. 71), with a = 3.5084 Å, b = 6.0804 Å, c = 18.9677 Å, α = 90.00°, β = 90.00° and γ = 90.00°. The inequivalent atoms are Pm at (0.0000, 0.2440, 0.0000), Pr at (0.0000, 0.5000, 0.3287) and Bi at (0.0000, 0.5000, 0.1554).

---

S.
Computed, not measured: a relaxed PmPrBi crystal at the GGA-PBE level of DFT.

It has space group I4mm (No. 107), with a = 4.2386 Å, b = 4.2386 Å, c = 10.5153 Å, α = 90.00°, β = 90.00° and γ = 90.00°. The inequivalent atoms are Pm at (0.0000, 0.0000, 0.0000), Pr at (0.0000, 0.0000, 0.6892) and Bi at (0.0000, 0.0000, 0.3476).

---

Most stable one: S, least stable one: R.